No. 1
Ag2PbAu2 | PBE-GGA | relaxed

Values from the calculation:
- SG: P4/mbm (127)
- E: -3.1917 eV per atom
- Magnetization: 0.0 μB per formula unit

a b c (Å): 8.0962 8.0962 3.1608
angles (deg): 90.00 90.00 90.00
Element x y z (fractional)
Pb 0.0000 0.0000 0.0000
Au 0.6290 0.1290 0.0000
Au 0.1290 0.3710 0.0000
Ag 0.1668 0.6668 0.5000
Pb 0.5000 0.5000 0.0000
Ag 0.8332 0.3332 0.5000
Ag 0.6668 0.8332 0.5000
Au 0.8710 0.6290 0.0000
Au 0.3710 0.8710 0.0000
Ag 0.3332 0.1668 0.5000

***

No. 2
AgPb5Au4 | PBE-GGA | relaxed

Values from the calculation:
- SG: C2/m (12)
- E: -3.4739 eV per atom
- Magnetization: 0.0 μB per formula unit

a b c (Å): 4.6495 7.2824 10.2124
angles (deg): 127.13 103.16 90.00
Element x y z (fractional)
Ag 0.5000 0.0000 0.0000
Pb 0.8322 0.2263 0.6643
Au 0.0072 0.2402 0.0144
Pb 0.1678 0.7737 0.3357
Au 0.3525 0.9913 0.7050
Au 0.9928 0.7598 0.9856
Pb 0.5000 0.5000 0.0000
Pb 0.1647 0.2796 0.3293
Pb 0.8353 0.7204 0.6707
Au 0.6475 0.0087 0.2950

***

No. 3
AgPb2Au | PBE-GGA | relaxed

Values from the calculation:
- SG: R3m (160)
- E: -3.3359 eV per atom
- Magnetization: 0.0 μB per formula unit

a b c (Å): 10.2524 10.2524 10.2524
angles (deg): 19.07 19.07 19.07
Element x y z (fractional)
Pb 0.0142 0.0142 0.0142
Ag 0.4913 0.4913 0.4913
Pb 0.2374 0.2374 0.2374
Au 0.7571 0.7571 0.7571

***

No. 4
Ag6PbAu8 | PBE-GGA | relaxed

Values from the calculation:
- SG: R-3 (148)
- E: -3.0918 eV per atom
- Magnetization: 0.0 μB per formula unit

a b c (Å): 8.0803 8.0803 7.0865
angles (deg): 55.24 55.24 60.00
Element x y z (fractional)
Au 0.5483 0.1891 0.4063
Pb 0.0000 0.0000 0.0000
Au 0.1436 0.4517 0.5937
Au 0.4517 0.8109 0.5937
Au 0.8109 0.1436 0.5937
Au 0.2169 0.2169 0.3493
Au 0.8564 0.5483 0.4063
Ag 0.6485 0.8417 0.0924
Ag 0.5826 0.3515 0.9076
Ag 0.8417 0.4174 0.0924
Ag 0.4174 0.6485 0.0924
Ag 0.1583 0.5826 0.9076
Au 0.7831 0.7831 0.6507
Au 0.1891 0.8564 0.4063
Ag 0.3515 0.1583 0.9076

***

Per-record formation enthalpy at 0 K, meV/atom: 1.4 -23.7 50.4 43.8